Sr3Sn2Pb | GGA-PBE | relaxed

Values from the calculation:
Energy of formation   -0.50 eV/atom
V   874 Å³/cell
Uncorrected energy   -3.29 eV/atom
Size of the total moment   0.000 μB per atom
Fermi-level density of states   6.0 states/eV/cell

abc: 8.269 10.608 11.570
angles: 90.00 120.58 90.00
Fractional positions:
Sr 0.314 0.882 0.957
Sr 0.186 0.382 0.543
Sr 0.686 0.118 0.043
Sr 0.814 0.618 0.457
Sr 0.380 0.564 0.107
Sr 0.120 0.064 0.393
Sr 0.620 0.436 0.893
Sr 0.880 0.936 0.607
Sr 0.933 0.716 0.151
Sr 0.567 0.216 0.349
Sr 0.067 0.284 0.849
Sr 0.433 0.784 0.651
Sn 0.721 0.897 0.274
Sn 0.779 0.397 0.226
Sn 0.279 0.103 0.726
Sn 0.221 0.603 0.774
Sn 0.344 0.568 0.386
Sn 0.156 0.068 0.114
Sn 0.656 0.432 0.614
Sn 0.844 0.932 0.886
Pb 0.400 0.853 0.327
Pb 0.100 0.353 0.173
Pb 0.600 0.147 0.673
Pb 0.900 0.647 0.827